The following is a GGA-PBE calculation of a relaxed structure of K2TiSnO5, from Alexandria.

Cell: 3.296 13.107 13.044 Å, 90.00 90.00 90.00°
Space group Cmc2_1 (No. 36)
Symmetry-distinct sites (fractional):
K 0.000 0.078 0.000 [4 per cell]
K 0.000 0.166 0.607 [4 per cell]
Ti 0.000 0.487 0.769 [4 per cell]
Sn 0.000 0.222 0.342 [4 per cell]
O 0.000 0.054 0.336 [4 per cell]
O 0.000 0.274 0.948 [4 per cell]
O 0.000 0.312 0.745 [4 per cell]
O 0.000 0.380 0.319 [4 per cell]
O 0.000 0.493 0.137 [4 per cell]

Summary:
Formation energy without anion corrections = -205 kJ per mole of atoms
Size of the total moment = 0.00 μB/cell

=====

The following is a GGA-PBE calculation of a relaxed structure of Hg8Br2Cl, from Alexandria.

Cell: 16.853 6.440 6.758 Å, 90.00 113.13 90.00°
Space group C2/m (No. 12)
Symmetry-distinct sites (fractional):
Hg 0.037 0.000 0.346 [4 per cell]
Hg 0.080 0.500 0.714 [4 per cell]
Hg 0.136 0.000 0.092 [4 per cell]
Hg 0.197 0.500 0.500 [4 per cell]
Br 0.221 0.000 0.811 [4 per cell]
Cl 0.000 0.500 0.000 [2 per cell]

Summary:
Formation energy without anion corrections = -15 kJ per mole of atoms
Size of the total moment = 0.00 μB/cell

=====

The following is a GGA-PBE calculation of a relaxed structure of SiAs2S2, from Alexandria.

Cell: 3.606 3.606 17.723 Å, 90.00 90.00 90.00°
Space group I4/mmm (No. 139)
Symmetry-distinct sites (fractional):
Si 0.000 0.000 0.000 [2 per cell]
As 0.000 0.500 0.250 [4 per cell]
S 0.000 0.000 0.440 [4 per cell]

Summary:
Formation energy without anion corrections = 42 kJ per mole of atoms
Size of the total moment = 0.00 μB/cell

=====

The following is a GGA-PBE calculation of a relaxed structure of Sr6NiH12, from Alexandria.

Cell: 10.2691 10.2691 10.0243 Å, 90.00 90.00 120.00°
Space group R-3 (No. 148, hexagonal axes)
Symmetry-distinct sites (fractional):
Sr 0.0619 0.2644 0.1595 [18 per cell]
Ni 0.0000 0.0000 0.5000 [3 per cell]
H 0.0414 0.1736 0.4036 [18 per cell]
H 0.0493 0.2328 0.9119 [18 per cell]

Summary:
Size of the total moment = 2.56 μB/cell
Energy = -3.287 eV/atom

=====

The following is a GGA-PBE calculation of a relaxed structure of Ce2ErTlC, from Alexandria.

Cell: 4.966 4.966 4.941 Å, 90.00 90.00 90.00°
Space group P4/mmm (No. 123)
Symmetry-distinct sites (fractional):
Ce 0.000 0.500 0.000 [2 per cell]
Er 0.000 0.000 0.500 [1 per cell]
Tl 0.500 0.500 0.500 [1 per cell]
C 0.000 0.000 0.000 [1 per cell]

Summary:
Size of the total moment = 1.12 μB/cell
Energy of formation = -0.31 eV per atom

=====

The following is a GGA-PBE calculation of a relaxed structure of BeCd2InIr, from Alexandria.

Cell: 5.256 5.256 4.382 Å, 90.00 90.00 90.00°
Space group P4/mmm (No. 123)
Symmetry-distinct sites (fractional):
Be 0.000 0.000 0.000 [1 per cell]
Cd 0.000 0.500 0.500 [2 per cell]
In 0.000 0.000 0.500 [1 per cell]
Ir 0.500 0.500 0.000 [1 per cell]

Summary:
Size of the total moment = 1.32 μB/cell
Energy of formation = 1.40 eV per atom

=====

The following is a GGA-PBE calculation of a relaxed structure of La2AlCu7, from Alexandria.

Cell: 4.140 4.140 10.350 Å, 90.00 90.00 90.00°
Space group P-4m2 (No. 115)
Symmetry-distinct sites (fractional):
La 0.000 0.500 0.241 [2 per cell]
Al 0.000 0.000 0.500 [1 per cell]
Cu 0.000 0.000 0.000 [1 per cell]
Cu 0.000 0.500 0.635 [2 per cell]
Cu 0.000 0.500 0.872 [2 per cell]
Cu 0.500 0.500 0.000 [1 per cell]
Cu 0.500 0.500 0.500 [1 per cell]

Summary:
Size of the total moment = 0.00 μB/cell
Energy of formation = -0.19 eV per atom

=====

> Which value of size of the total moment does entry 5 give?

1.12 μB/cell

=====

> What is the formula in the first record?

K2TiSnO5